(P)
This record from Alexandria describes an optimized crystal structure of AlZn3Co. The functional is GGA-PBE.

Cell lengths 4.5546, 4.5546, 4.5546 Å; angles 90.00, 90.00, 90.00 degrees
Fractional positions:
Al  0.0000  0.0000  0.0000
Zn  0.0000  0.5000  0.5000
Zn  0.5000  0.0000  0.5000
Zn  0.5000  0.5000  0.0000
Co  0.5000  0.5000  0.5000

N(E_F): 2.0 states/eV/cell
total magnetization: 0.000 Bohr magnetons per cell
SG: Pm-3m (221)
crystal system: cubic

---

(Q)
This record from Alexandria describes an optimized crystal structure of AlZn3Co. The functional is GGA-PBE.

Cell lengths 4.7195, 4.7195, 4.7195 Å; angles 90.00, 90.00, 90.00 degrees
Fractional positions:
Al  0.0000  0.0000  0.0000
Zn  0.0000  0.0000  0.5000
Zn  0.0000  0.5000  0.0000
Zn  0.5000  0.0000  0.0000
Co  0.5000  0.5000  0.5000

N(E_F): 7.3 states/eV/cell
total magnetization: 2.021 Bohr magnetons per cell
SG: Pm-3m (221)
crystal system: cubic

---

Which is most stable, and by how much? (P), by 0.560 eV/atom.

---

(P)
This record from Alexandria describes an optimized crystal structure of ZrAl3Co. The functional is GGA-PBE.

Cell lengths 4.4177, 4.4177, 4.4177 Å; angles 90.00, 90.00, 90.00 degrees
Fractional positions:
Zr  0.0000  0.0000  0.0000
Al  0.0000  0.5000  0.5000
Al  0.5000  0.0000  0.5000
Al  0.5000  0.5000  0.0000
Co  0.5000  0.5000  0.5000

N(E_F): 4.3 states/eV/cell
total magnetization: 0.000 Bohr magnetons per cell
SG: Pm-3m (221)
crystal system: cubic

---

(Q)
This record from Alexandria describes an optimized crystal structure of ZrAl3Co. The functional is GGA-PBE.

Cell lengths 5.1350, 5.1350, 5.1350 Å; angles 90.00, 90.00, 90.00 degrees
Fractional positions:
Zr  0.0000  0.0000  0.0000
Al  0.0000  0.0000  0.5000
Al  0.0000  0.5000  0.0000
Al  0.5000  0.0000  0.0000
Co  0.5000  0.5000  0.5000

N(E_F): 7.8 states/eV/cell
total magnetization: 2.354 Bohr magnetons per cell
SG: Pm-3m (221)
crystal system: cubic

---

(R)
This record from Alexandria describes an optimized crystal structure of ZrAl3Co. The functional is GGA-PBE.

Cell lengths 7.8413, 5.2475, 7.8369 Å; angles 90.00, 99.40, 90.00 degrees
Fractional positions:
Zr  0.1244  0.1196  0.2113
Zr  0.1244  0.3804  0.7113
Zr  0.8756  0.6196  0.2887
Zr  0.8756  0.8804  0.7887
Al  0.1289  0.6383  0.0550
Al  0.1289  0.8617  0.5550
Al  0.2885  0.5947  0.3611
Al  0.2885  0.9053  0.8611
Al  0.3967  0.1673  0.5530
Al  0.3967  0.3327  0.0530
Al  0.6033  0.6673  0.9470
Al  0.6033  0.8327  0.4470
Al  0.7115  0.0947  0.1389
Al  0.7115  0.4053  0.6389
Al  0.8711  0.1383  0.4450
Al  0.8711  0.3617  0.9450
Co  0.4452  0.6421  0.6563
Co  0.4452  0.8579  0.1563
Co  0.5548  0.1421  0.8437
Co  0.5548  0.3579  0.3437

N(E_F): 8.2 states/eV/cell
total magnetization: 0.000 Bohr magnetons per cell
SG: P2_1/c (14)
crystal system: monoclinic

---

Which is most stable, and by how much? (R), by 0.270 eV/atom.